# Y3Si4Os2 (PBE, optimized geometry)
# Magnetic moment ... 0.00 μB/cell
# SG ... No. 12
data_Y3Si4Os2
_symmetry_space_group_name_H-M 'P 1'
_symmetry_Int_Tables_number 1
_symmetry_space_group_name_Hall 'P 1'
_cell_length_a 5.739
_cell_length_b 5.739
_cell_length_c 8.011
_cell_angle_alpha 107.44
_cell_angle_beta 107.44
_cell_angle_gamma 42.93
loop_
_atom_site_label
_atom_site_fract_x
_atom_site_fract_y
_atom_site_fract_z
_atom_site_occupancy
Y1 0.000 0.000 0.000 1
Y2 0.384 0.384 0.301 1
Y3 0.616 0.616 0.699 1
Si1 0.100 0.100 0.412 1
Si2 0.278 0.278 0.921 1
Si3 0.722 0.722 0.079 1
Si4 0.900 0.900 0.588 1
Os1 0.317 0.317 0.644 1
Os2 0.683 0.683 0.356 1



# Y2SiOs (PBE, optimized geometry)
# Magnetic moment ... 0.00 μB/cell
# SG ... No. 123
data_Y2SiOs
_symmetry_space_group_name_H-M 'P 1'
_symmetry_Int_Tables_number 1
_symmetry_space_group_name_Hall 'P 1'
_cell_length_a 3.525
_cell_length_b 3.525
_cell_length_c 6.689
_cell_angle_alpha 90.00
_cell_angle_beta 90.00
_cell_angle_gamma 90.00
loop_
_atom_site_label
_atom_site_fract_x
_atom_site_fract_y
_atom_site_fract_z
_atom_site_occupancy
Y1 0.000 0.000 0.244 1
Y2 0.000 0.000 0.756 1
Si1 0.500 0.500 0.500 1
Os1 0.500 0.500 0.000 1



# Y3Si3Os (PBE, optimized geometry)
# Magnetic moment ... 0.00 μB/cell
# SG ... No. 12
data_Y3Si3Os
_symmetry_space_group_name_H-M 'P 1'
_symmetry_Int_Tables_number 1
_symmetry_space_group_name_Hall 'P 1'
_cell_length_a 5.724
_cell_length_b 5.724
_cell_length_c 13.582
_cell_angle_alpha 109.52
_cell_angle_beta 109.52
_cell_angle_gamma 43.37
loop_
_atom_site_label
_atom_site_fract_x
_atom_site_fract_y
_atom_site_fract_z
_atom_site_occupancy
Y1 0.018 0.018 0.374 1
Y2 0.103 0.103 0.921 1
Y3 0.244 0.244 0.228 1
Y4 0.756 0.756 0.772 1
Y5 0.897 0.897 0.079 1
Y6 0.982 0.982 0.626 1
Si1 0.363 0.363 0.458 1
Si2 0.388 0.388 0.926 1
Si3 0.448 0.448 0.761 1
Si4 0.552 0.552 0.239 1
Si5 0.612 0.612 0.074 1
Si6 0.637 0.637 0.542 1
Os1 0.253 0.253 0.587 1
Os2 0.747 0.747 0.413 1



The calculation returns the following raw formation energy values, one per record and in order: -0.77 -0.33 -0.82 eV per atom.
The calculation returns the following total energy values, one per record and in order: -7.825 -7.725 -7.518 eV per atom.